1.
A relaxed BeTl2Br crystal, computed with PBEsol.

Cell and atoms, written as CIF:
```
data_BeTl2Br
_chemical_formula_sum 'Be1 Tl2 Br1'
_cell_length_a 3.726
_cell_length_b 3.726
_cell_length_c 7.466
_cell_angle_alpha 90.00
_cell_angle_beta 90.00
_cell_angle_gamma 90.00
_space_group_name_H-M_alt 'P 4 m m'
_space_group_IT_number 99
_space_group_name_Hall 'P 4 -2'
loop_
_atom_site_label
_atom_site_type_symbol
_atom_site_fract_x
_atom_site_fract_y
_atom_site_fract_z
_atom_site_occupancy
Be1 Be 0.000 0.000 0.000 1
Tl1 Tl 0.000 0.000 0.650 1
Tl2 Tl 0.500 0.500 0.019 1
Br1 Br 0.500 0.500 0.428 1
```

Output
For the offset from the most stable computed form, the calculation gives 0.000 eV per atom.



2.
A relaxed BeTl2Br crystal, computed with PBEsol.

Cell and atoms, written as CIF:
```
data_BeTl2Br
_chemical_formula_sum 'Be2 Tl4 Br2'
_cell_length_a 4.322
_cell_length_b 4.322
_cell_length_c 11.077
_cell_angle_alpha 90.00
_cell_angle_beta 90.00
_cell_angle_gamma 90.00
_space_group_name_H-M_alt 'I -4 m 2'
_space_group_IT_number 119
_space_group_name_Hall 'I -4 -2'
loop_
_atom_site_label
_atom_site_type_symbol
_atom_site_fract_x
_atom_site_fract_y
_atom_site_fract_z
_atom_site_occupancy
Be1 Be 0.000 0.000 0.000 1
Tl1 Tl 0.000 0.000 0.500 1
Tl2 Tl 0.000 0.500 0.750 1
Br1 Br 0.000 0.500 0.250 1
```

Output
For the offset from the most stable computed form, the calculation gives 0.145 eV per atom.



3.
A relaxed BeTlBr crystal, computed with PBEsol.

Cell and atoms, written as CIF:
```
data_BeTlBr
_chemical_formula_sum 'Be2 Tl2 Br2'
_cell_length_a 3.248
_cell_length_b 3.248
_cell_length_c 12.711
_cell_angle_alpha 90.00
_cell_angle_beta 90.00
_cell_angle_gamma 90.00
_space_group_name_H-M_alt 'I 4 m m'
_space_group_IT_number 107
_space_group_name_Hall 'I 4 -2'
loop_
_atom_site_label
_atom_site_type_symbol
_atom_site_fract_x
_atom_site_fract_y
_atom_site_fract_z
_atom_site_occupancy
Be1 Be 0.000 0.000 0.000 1
Tl1 Tl 0.000 0.000 0.334 1
Br1 Br 0.000 0.000 0.588 1
```

Output
The calculation puts the total energy at -2.581 eV/atom.



4.
A relaxed BeTl2Br crystal, computed with PBEsol.

Cell and atoms, written as CIF:
```
data_BeTl2Br
_chemical_formula_sum 'Be4 Tl8 Br4'
_cell_length_a 7.427
_cell_length_b 7.427
_cell_length_c 7.427
_cell_angle_alpha 90.00
_cell_angle_beta 90.00
_cell_angle_gamma 90.00
_space_group_name_H-M_alt 'F m -3 m'
_space_group_IT_number 225
_space_group_name_Hall '-F 4 2 3'
loop_
_atom_site_label
_atom_site_type_symbol
_atom_site_fract_x
_atom_site_fract_y
_atom_site_fract_z
_atom_site_occupancy
Be1 Be 0.000 0.000 0.000 1
Tl1 Tl 0.250 0.250 0.250 1
Br1 Br 0.000 0.000 0.500 1
```

Output
For the offset from the most stable computed form, the calculation gives 0.213 eV per atom.



5.
A relaxed BeWBr2 crystal, computed with PBEsol.

Cell and atoms, written as CIF:
```
data_BeWBr2
_chemical_formula_sum 'Be1 W1 Br2'
_cell_length_a 4.619
_cell_length_b 4.619
_cell_length_c 3.004
_cell_angle_alpha 90.00
_cell_angle_beta 90.00
_cell_angle_gamma 90.00
_space_group_name_H-M_alt 'P 4/m m m'
_space_group_IT_number 123
_space_group_name_Hall '-P 4 2'
loop_
_atom_site_label
_atom_site_type_symbol
_atom_site_fract_x
_atom_site_fract_y
_atom_site_fract_z
_atom_site_occupancy
Be1 Be 0.000 0.000 0.000 1
W1 W 0.500 0.500 0.000 1
Br1 Br 0.000 0.500 0.500 1
```

Output
For the offset from the most stable computed form, the calculation gives 0.785 eV per atom.



6.
A relaxed BeWBr2 crystal, computed with PBEsol.

Cell and atoms, written as CIF:
```
data_BeWBr2
_chemical_formula_sum 'Be4 W4 Br8'
_cell_length_a 6.304
_cell_length_b 6.304
_cell_length_c 6.304
_cell_angle_alpha 90.00
_cell_angle_beta 90.00
_cell_angle_gamma 90.00
_space_group_name_H-M_alt 'F m -3 m'
_space_group_IT_number 225
_space_group_name_Hall '-F 4 2 3'
loop_
_atom_site_label
_atom_site_type_symbol
_atom_site_fract_x
_atom_site_fract_y
_atom_site_fract_z
_atom_site_occupancy
Be1 Be 0.000 0.000 0.000 1
W1 W 0.000 0.000 0.500 1
Br1 Br 0.250 0.250 0.250 1
```

Output
For the offset from the most stable computed form, the calculation gives 0.676 eV per atom.